10
Lattice="-4.1628 -3.0903 -0.8546 4.5851 -5.2014 -3.5256 1.2276 -3.5389 6.8174" Properties=species:S:1:pos:R:3 comment="K2Hg2Sb PBEsol relaxed" density_g_cm3=6.28 formation_energy_uncorrected_kcal_per_mol_atoms=-5.99 spacegroup="P4/mbm, No. 127" final_energy_ev_per_atom=-1.85 pbc="T T T"
Hg 1.0562 -1.9885 2.0457
Hg 2.7542 -4.9878 4.6208
Hg 3.0586 -3.7524 -1.3290
Hg 4.7565 -6.7517 1.2461
K -0.4200 -4.8898 3.5747
K -0.3939 -3.8462 -0.3260
K 2.0700 -6.9407 -1.1375
K 2.0439 -7.9843 2.7632
Sb 2.9064 -4.3701 1.6459
Sb 0.0000 0.0000 0.0000